# 1
Crystalline Pr2SmIr at its relaxed geometry. Source: Alexandria via LeMat-Bulk, functional PBE.

Output
- formation enthalpy at 0 K (eV per atom) = -0.227
- total energy (eV per atom) = -6.012

Cell lengths 4.0734, 4.0734, 27.9155 Å; angles 90.00, 90.00, 120.00 degrees
Space group R3m (No. 160, hexagonal axes)
Unique sites:
Pr  0.0000  0.0000  0.0000 [3 per cell]
Pr  0.0000  0.0000  0.2172 [3 per cell]
Sm  0.0000  0.0000  0.4431 [3 per cell]
Ir  0.0000  0.0000  0.6085 [3 per cell]



# 2
Crystalline Pr5Sm2Ir4 at its relaxed geometry. Source: Alexandria via LeMat-Bulk, functional PBE.

Output
- formation enthalpy at 0 K (eV per atom) = -0.291
- total energy (eV per atom) = -6.544

Cell lengths 24.793, 3.853, 7.083 Å; angles 90.00, 93.06, 90.00 degrees
Space group C2/m (No. 12)
Unique sites:
Pr  0.000  0.000  0.000 [2 per cell]
Pr  0.134  0.500  0.186 [4 per cell]
Pr  0.230  0.500  0.710 [4 per cell]
Sm  0.085  0.500  0.640 [4 per cell]
Ir  0.026  0.500  0.298 [4 per cell]
Ir  0.167  0.000  0.485 [4 per cell]



# 3
Crystalline Pr3SmIr2 at its relaxed geometry. Source: Alexandria via LeMat-Bulk, functional PBE.

Output
- formation enthalpy at 0 K (eV per atom) = -0.481
- total energy (eV per atom) = -6.611

Cell lengths 7.036, 14.026, 7.305 Å; angles 90.00, 90.00, 90.00 degrees
Space group Ibam (No. 72)
Unique sites:
Pr  0.000  0.000  0.250 [4 per cell]
Pr  0.000  0.264  0.250 [8 per cell]
Sm  0.000  0.500  0.000 [4 per cell]
Ir  0.216  0.137  0.000 [8 per cell]